First-principles (PBE-GGA) data for a relaxed structure of YTlAu2, as listed in Alexandria.

Properties
The volume is 23.914 A^3/atom. For the energy of formation from the pure elements, the calculation gives -1.8 eV per formula unit. Its space group is No. 6.

a b c (Å): 4.497 3.874 5.839
angles (deg): 70.07 90.00 90.00
Atoms (fractional coordinates):
Y: 0.500 0.772 0.836
Tl: 0.000 0.472 0.425
Au: 0.000 0.210 0.958
Au: 0.500 0.046 0.281